The following is a DFT calculation (GGA-PBE) of an optimized crystal structure of LiTm4In.

Lattice parameters (Å, degrees): 4.9870 4.9870 7.3942 90.00 90.00 90.00
Closest atoms and distances in Å follow each position.
Space group P4/mmm (No. 123)
Symmetry-distinct sites (fractional):
1 Li 0.0000 0.0000 0.0000 [1 per cell]  8 Tm 3.08
2 Tm 0.0000 0.5000 0.2452 [4 per cell]  2 Li 3.08, 2 In 3.13
3 In 0.5000 0.5000 0.5000 [1 per cell]  8 Tm 3.13

DOS at the Fermi energy   5.95 states/eV/f.u.
Energy of formation   0.23 eV per atom
Electronic total energy   -3.531 eV per atom
Calculated volume   183.9 Å³/cell